[1]
PmTmRh: relaxed, PBE-GGA.

Values from the calculation:
N(E_F) = 1.262 states/eV per atom
Symmetry = I4mm (107)
Energy of formation from the pure elements = -1.578 eV/f.u.
ΔE to the lowest computed polymorph = 0.09 eV/f.u.

Cell and atoms, written as POSCAR:
```
PmTmRh
1.0
-1.736 1.736 6.315
1.736 -1.736 6.315
1.736 1.736 -6.315
Pm Tm Rh
1 1 1
Direct
0.000 0.000 0.000
0.737 0.737 0.000
0.357 0.357 0.000
```

[2]
CrNi3Hg: relaxed, PBE-GGA.

Values from the calculation:
N(E_F) = 1.315 states/eV per atom
Symmetry = Pm-3m (221)
Energy of formation from the pure elements = 5.220 eV/f.u.
ΔE to the lowest computed polymorph = 0.00 eV/f.u.

Cell and atoms, written as POSCAR:
```
CrNi3Hg
1.0
4.316 0.000 0.000
0.000 4.316 0.000
0.000 0.000 4.316
Cr Ni Hg
1 3 1
Direct
0.000 0.000 0.000
0.000 0.000 0.500
0.000 0.500 0.000
0.500 0.000 0.000
0.500 0.500 0.500
```

[3]
La2AlAs: relaxed, PBE-GGA.

Values from the calculation:
N(E_F) = 1.180 states/eV per atom
Symmetry = R3m (160)
Energy of formation from the pure elements = -2.054 eV/f.u.
ΔE to the lowest computed polymorph = 1.31 eV/f.u.

Cell and atoms, written as POSCAR:
```
La2AlAs
1.0
2.145 1.239 7.609
-2.145 1.239 7.609
0.000 -2.477 7.609
La Al As
2 1 1
Direct
0.000 0.000 0.000
0.184 0.184 0.184
0.759 0.759 0.759
0.426 0.426 0.426
```

[4]
MgGa2Pd6: relaxed, PBE-GGA.

Values from the calculation:
N(E_F) = 0.321 states/eV per atom
Symmetry = P4_2/mnm (136)
Energy of formation from the pure elements = -5.301 eV/f.u.

Cell and atoms, written as POSCAR:
```
MgGa2Pd6
1.0
8.120 0.000 0.000
0.000 8.120 0.000
0.000 0.000 4.118
Mg Ga Pd
2 4 12
Direct
0.000 0.000 0.000
0.500 0.500 0.500
0.196 0.196 0.500
0.304 0.696 0.000
0.696 0.304 0.000
0.804 0.804 0.500
0.021 0.326 0.000
0.136 0.864 0.500
0.174 0.521 0.500
0.326 0.021 0.000
0.364 0.364 0.000
0.479 0.826 0.500
0.521 0.174 0.500
0.636 0.636 0.000
0.674 0.979 0.000
0.826 0.479 0.500
0.864 0.136 0.500
0.979 0.674 0.000
```

[5]
HfMn4Ga: relaxed, PBE-GGA.

Values from the calculation:
N(E_F) = 1.121 states/eV per atom
Symmetry = F-43m (216)
Energy of formation from the pure elements = -0.785 eV/f.u.

Cell and atoms, written as POSCAR:
```
HfMn4Ga
1.0
0.000 3.402 3.402
3.402 0.000 3.402
3.402 3.402 0.000
Hf Mn Ga
1 4 1
Direct
0.000 0.000 0.000
0.376 0.376 0.376
0.376 0.376 0.871
0.376 0.871 0.376
0.871 0.376 0.376
0.750 0.750 0.750
```

[6]
TlCuTe2: relaxed, PBE-GGA.

Values from the calculation:
Uncorrected energy = -26.16 eV/cell
N(E_F) = 0.043 states/eV per atom
Symmetry = I4/mcm (140)

Cell and atoms, written as POSCAR:
```
TlCuTe2
1.0
-3.870 3.870 4.096
3.870 -3.870 4.096
3.870 3.870 -4.096
Tl Cu Te
2 2 4
Direct
0.250 0.250 0.000
0.750 0.750 0.000
0.250 0.750 0.500
0.750 0.250 0.500
0.141 0.641 0.782
0.359 0.141 0.500
0.641 0.859 0.500
0.859 0.359 0.218
```

[7]
TmNpPa2P4: relaxed, PBE-GGA.

Values from the calculation:
N(E_F) = 1.591 states/eV per atom
Symmetry = P2/m (10)
Energy of formation from the pure elements = -10.211 eV/f.u.

Cell and atoms, written as POSCAR:
```
TmNpPa2P4
1.0
6.834 0.000 0.000
0.000 3.966 0.000
-2.298 0.000 6.470
Tm Np Pa P
1 1 2 4
Direct
0.000 0.000 0.000
0.000 0.500 0.500
0.500 0.000 0.500
0.500 0.500 0.000
0.248 0.000 0.750
0.249 0.500 0.249
0.751 0.500 0.751
0.752 0.000 0.250
```

[8]
ScTlSb2: relaxed, PBE-GGA.

Values from the calculation:
N(E_F) = 0.911 states/eV per atom
Symmetry = Fm-3m (225)
ΔE to the lowest computed polymorph = 0.91 eV/f.u.

Cell and atoms, written as POSCAR:
```
ScTlSb2
1.0
0.000 3.772 3.772
3.772 0.000 3.772
3.772 3.772 0.000
Sc Tl Sb
1 1 2
Direct
0.000 0.000 0.000
0.500 0.500 0.500
0.250 0.250 0.250
0.750 0.750 0.750
```

Number 1: density 9.1 g cm⁻³. Number 2: density 8.9 g cm⁻³. Number 3: density 5.2 g cm⁻³. Number 4: density 9.8 g cm⁻³. Number 5: density 9.9 g cm⁻³. Number 6: density 7.1 g cm⁻³. Number 7: density 9.4 g cm⁻³. Number 8: density 7.6 g cm⁻³.